[1]
# ThIn2I8

Crystalline ThIn2I8 at its relaxed geometry (PBE-GGA, Alexandria).

Calculated values
**Magnetic moment**: 0.000 Bohr magnetons per cell
**Electronic total energy**: -3.0299 eV per atom
**Formation energy without anion corrections**: -0.730 eV/atom
**Symmetry**: No. 12

a b c (Å): 7.747 9.394 9.394
angles (deg): 78.00 97.86 97.86
Fractional positions:
In (0.678, 0.218, 0.218)
I (0.124, 0.594, 0.594)
I (0.784, 0.264, 0.902)
I (0.216, 0.736, 0.098)
I (0.784, 0.902, 0.264)
Th (0.000, 0.000, 0.000)
I (0.260, 0.186, 0.186)
In (0.322, 0.782, 0.782)
I (0.216, 0.098, 0.736)
I (0.876, 0.406, 0.406)
I (0.740, 0.814, 0.814)

[2]
# ThInI6

Crystalline ThInI6 at its relaxed geometry (PBE-GGA, Alexandria).

Calculated values
**Magnetic moment**: 0.000 Bohr magnetons per cell
**Electronic total energy**: -3.3174 eV per atom
**Formation energy without anion corrections**: -0.885 eV/atom
**Symmetry**: No. 12

a b c (Å): 7.975 7.975 10.712
angles (deg): 110.06 110.06 119.45
Fractional positions:
I (0.275, 0.969, 0.275)
I (0.725, 0.031, 0.725)
Th (0.500, 0.500, 0.500)
In (0.000, 0.000, 0.000)
I (0.536, 0.536, 0.231)
I (0.969, 0.275, 0.275)
I (0.031, 0.725, 0.725)
I (0.464, 0.464, 0.769)

[3]
# ThIn3I8

Crystalline ThIn3I8 at its relaxed geometry (PBE-GGA, Alexandria).

Calculated values
**Magnetic moment**: 0.000 Bohr magnetons per cell
**Electronic total energy**: -3.0604 eV per atom
**Formation energy without anion corrections**: -0.724 eV/atom
**Symmetry**: No. 186

a b c (Å): 14.689 9.862 9.862
angles (deg): 120.00 90.00 90.00
Fractional positions:
In (0.827, 0.174, 0.348)
I (0.215, 0.183, 0.817)
I (0.715, 0.817, 0.633)
In (0.327, 0.826, 0.174)
I (0.204, 0.667, 0.333)
Th (0.599, 0.667, 0.333)
I (0.715, 0.817, 0.183)
I (0.215, 0.183, 0.367)
I (0.715, 0.367, 0.183)
I (0.974, 0.479, 0.521)
I (0.420, 0.000, 0.000)
In (0.827, 0.174, 0.826)
I (0.920, 0.000, 0.000)
Th (0.099, 0.333, 0.667)
In (0.327, 0.826, 0.652)
I (0.704, 0.333, 0.667)
In (0.327, 0.348, 0.174)
In (0.827, 0.652, 0.826)
I (0.474, 0.959, 0.479)
I (0.215, 0.633, 0.817)
I (0.974, 0.041, 0.521)
I (0.474, 0.521, 0.041)
I (0.974, 0.479, 0.959)
I (0.474, 0.521, 0.479)

[4]
# ThTlInI6

Crystalline ThTlInI6 at its relaxed geometry (PBE-GGA, Alexandria).

Calculated values
**Magnetic moment**: 0.000 Bohr magnetons per cell
**Electronic total energy**: -3.3666 eV per atom
**Formation energy without anion corrections**: -0.942 eV/atom
**Symmetry**: No. 163

a b c (Å): 8.517 8.517 14.617
angles (deg): 90.00 90.00 120.00
Fractional positions:
I (0.372, 0.338, 0.371)
Th (0.333, 0.667, 0.750)
I (0.628, 0.966, 0.871)
In (0.667, 0.333, 0.750)
Tl (0.000, 0.000, 0.000)
I (0.034, 0.372, 0.629)
In (0.333, 0.667, 0.250)
I (0.338, 0.372, 0.871)
I (0.338, 0.966, 0.629)
Th (0.667, 0.333, 0.250)
I (0.372, 0.034, 0.129)
Tl (0.000, 0.000, 0.500)
I (0.662, 0.034, 0.371)
I (0.628, 0.662, 0.629)
I (0.034, 0.662, 0.871)
I (0.966, 0.628, 0.371)
I (0.966, 0.338, 0.129)
I (0.662, 0.628, 0.129)

[5]
# ThTlIn2I8

Crystalline ThTlIn2I8 at its relaxed geometry (PBE-GGA, Alexandria).

Calculated values
**Magnetic moment**: 0.000 Bohr magnetons per cell
**Electronic total energy**: -3.0678 eV per atom
**Formation energy without anion corrections**: -0.762 eV/atom
**Symmetry**: No. 2

a b c (Å): 7.901 7.412 9.971
angles (deg): 89.96 89.99 90.15
Fractional positions:
I (0.680, 0.761, 0.000)
I (0.320, 0.239, 0.000)
I (0.352, 0.282, 0.500)
I (0.850, 0.242, 0.221)
Th (0.000, 0.000, 0.000)
I (0.150, 0.758, 0.779)
I (0.648, 0.718, 0.500)
I (0.851, 0.243, 0.778)
In (0.500, 0.499, 0.740)
In (0.500, 0.501, 0.260)
I (0.149, 0.757, 0.222)
Tl (0.000, 0.000, 0.500)

[6]
# Ti2InI8

Crystalline Ti2InI8 at its relaxed geometry (PBE-GGA, Alexandria).

Calculated values
**Magnetic moment**: 1.001 Bohr magnetons per cell
**Electronic total energy**: -3.4752 eV per atom
**Formation energy without anion corrections**: -0.663 eV/atom
**Symmetry**: No. 12

a b c (Å): 9.050 7.579 9.050
angles (deg): 86.85 85.59 86.85
Each line ends with the local moment (μB).
Fractional positions:
I (0.586, 0.746, 0.586)  -0.02
Ti (0.229, 0.379, 0.229)  0.52
I (0.701, 0.740, 0.034)  -0.02
I (0.778, 0.277, 0.778)  -0.02
I (0.222, 0.723, 0.222)  -0.02
I (0.034, 0.740, 0.701)  -0.02
Ti (0.771, 0.621, 0.771)  0.52
I (0.414, 0.254, 0.414)  -0.02
I (0.299, 0.260, 0.966)  -0.02
In (0.000, 0.000, 0.000)  -0.01
I (0.966, 0.260, 0.299)  -0.02

[7]
# Ti2In2I

Crystalline Ti2In2I at its relaxed geometry (PBE-GGA, Alexandria).

Calculated values
**Magnetic moment**: 0.004 Bohr magnetons per cell
**Electronic total energy**: -4.4970 eV per atom
**Formation energy without anion corrections**: 0.066 eV/atom
**Symmetry**: No. 127

a b c (Å): 7.323 7.323 4.227
angles (deg): 90.00 90.00 90.00
Fractional positions:
I (0.500, 0.500, 0.000)
In (0.343, 0.157, 0.500)
Ti (0.134, 0.366, 0.000)
Ti (0.634, 0.134, 0.000)
I (0.000, 0.000, 0.000)
In (0.843, 0.343, 0.500)
Ti (0.366, 0.866, 0.000)
Ti (0.866, 0.634, 0.000)
In (0.157, 0.657, 0.500)
In (0.657, 0.843, 0.500)

[8]
# Ti2In5I12

Crystalline Ti2In5I12 at its relaxed geometry (PBE-GGA, Alexandria).

Calculated values
**Magnetic moment**: 0.987 Bohr magnetons per cell
**Electronic total energy**: -3.0867 eV per atom
**Formation energy without anion corrections**: -0.556 eV/atom
**Symmetry**: No. 12

a b c (Å): 8.354 10.278 10.722
angles (deg): 104.93 90.00 113.98
Each line ends with the local moment (μB).
Fractional positions:
In (0.000, 0.000, 0.500)  -0.01
Ti (0.266, 0.000, 0.000)  0.56
In (0.685, 0.370, 0.807)  -0.01
I (0.997, 0.994, 0.825)  -0.01
I (0.601, 0.703, 0.430)  -0.01
Ti (0.734, 0.000, 0.000)  0.56
I (0.497, 0.993, 0.806)  -0.02
I (0.107, 0.700, 0.932)  -0.03
I (0.407, 0.300, 0.068)  -0.03
I (0.593, 0.700, 0.932)  -0.03
I (0.399, 0.297, 0.570)  -0.01
I (0.503, 0.007, 0.194)  -0.02
I (0.101, 0.703, 0.430)  -0.01
In (0.705, 0.409, 0.363)  -0.01
In (0.295, 0.591, 0.637)  -0.01
I (0.899, 0.297, 0.570)  -0.01
I (0.893, 0.300, 0.068)  -0.03
I (0.003, 0.006, 0.175)  -0.01
In (0.315, 0.630, 0.193)  -0.01

[9]
# TiIn3I7

Crystalline TiIn3I7 at its relaxed geometry (PBE-GGA, Alexandria).

Calculated values
**Magnetic moment**: 0.082 Bohr magnetons per cell
**Electronic total energy**: -3.0009 eV per atom
**Formation energy without anion corrections**: -0.550 eV/atom
**Symmetry**: No. 8

a b c (Å): 7.982 7.982 8.732
angles (deg): 67.87 67.87 77.03
Each line ends with the local moment (μB).
Fractional positions:
I (0.182, 0.182, 0.099)  -0.01
I (0.840, 0.840, 0.861)  -0.01
In (0.508, 0.508, 0.912)  0.00
I (0.682, 0.084, 0.214)  -0.01
In (0.821, 0.195, 0.484)  -0.01
In (0.195, 0.821, 0.484)  -0.01
Ti (0.011, 0.011, 0.982)  0.13
I (0.505, 0.505, 0.538)  0.00
I (0.084, 0.682, 0.214)  -0.01
I (0.953, 0.342, 0.731)  -0.01
I (0.342, 0.953, 0.731)  -0.01

[10]
# TiInI3

Crystalline TiInI3 at its relaxed geometry (PBE-GGA, Alexandria).

Calculated values
**Magnetic moment**: 2.000 Bohr magnetons per cell
**Electronic total energy**: -3.4654 eV per atom
**Formation energy without anion corrections**: -0.409 eV/atom
**Symmetry**: No. 221

a b c (Å): 5.714 5.714 5.714
angles (deg): 90.00 90.00 90.00
Each line ends with the local moment (μB).
Fractional positions:
I (0.000, 0.000, 0.500)  -0.01
I (0.500, 0.000, 0.000)  -0.01
In (0.500, 0.500, 0.500)  0.01
I (0.000, 0.500, 0.000)  0.00
Ti (0.000, 0.000, 0.000)  1.60

[11]
# TiInI6

Crystalline TiInI6 at its relaxed geometry (PBE-GGA, Alexandria).

Calculated values
**Magnetic moment**: 0.000 Bohr magnetons per cell
**Electronic total energy**: -3.0366 eV per atom
**Formation energy without anion corrections**: -0.545 eV/atom
**Symmetry**: No. 148

a b c (Å): 7.343 7.342 7.815
angles (deg): 61.97 61.98 60.00
Fractional positions:
I (0.070, 0.396, 0.760)
Ti (0.000, 0.000, 0.000)
I (0.930, 0.604, 0.240)
I (0.396, 0.774, 0.760)
I (0.604, 0.226, 0.240)
I (0.226, 0.930, 0.239)
In (0.500, 0.500, 0.500)
I (0.774, 0.070, 0.761)

[12]
# Ti2InI6

Crystalline Ti2InI6 at its relaxed geometry (PBE-GGA, Alexandria).

Calculated values
**Magnetic moment**: 6.000 Bohr magnetons per cell
**Electronic total energy**: -3.6316 eV per atom
**Formation energy without anion corrections**: -0.540 eV/atom
**Symmetry**: No. 15

a b c (Å): 7.814 10.647 10.647
angles (deg): 85.86 81.84 81.84
Each line ends with the local moment (μB).
Fractional positions:
I (0.605, 0.598, 0.154)  -0.02
I (0.395, 0.402, 0.846)  -0.02
I (0.165, 0.788, 0.964)  -0.02
I (0.105, 0.154, 0.598)  -0.02
In (0.750, 0.886, 0.114)  0.00
I (0.665, 0.964, 0.788)  -0.02
In (0.250, 0.114, 0.886)  0.00
I (0.403, 0.721, 0.569)  -0.04
Ti (0.716, 0.780, 0.622)  1.32
I (0.895, 0.846, 0.402)  -0.02
Ti (0.284, 0.220, 0.378)  1.32
I (0.903, 0.569, 0.721)  -0.04
I (0.835, 0.212, 0.036)  -0.02
I (0.097, 0.431, 0.279)  -0.04
Ti (0.216, 0.622, 0.780)  1.32
Ti (0.784, 0.378, 0.220)  1.32
I (0.335, 0.036, 0.212)  -0.02
I (0.597, 0.279, 0.431)  -0.04

> What is the formation energy without anion corrections in the eleventh record?

-0.545 eV/atom